Record 1
# Cs3WCl7 PBE optimized geometry
data_Cs3WCl7
_cell_length_a 10.3125
_cell_length_b 10.3125
_cell_length_c 7.3210
_cell_angle_alpha 90.00
_cell_angle_beta 90.00
_cell_angle_gamma 90.00
_space_group_name_H-M_alt 'P 1'
_space_group_IT_number 1
loop_
_space_group_symop_operation_xyz
'x,y,z'
loop_
_atom_site_label
_atom_site_fract_x
_atom_site_fract_y
_atom_site_fract_z
Cs1 0.0000 0.0000 0.0000
Cs2 0.1806 0.3194 0.5000
Cs3 0.3194 0.8194 0.5000
Cs4 0.5000 0.5000 0.0000
Cs5 0.6806 0.1806 0.5000
Cs6 0.8194 0.6806 0.5000
W1 0.0000 0.5000 0.0000
W2 0.5000 0.0000 0.0000
Cl1 0.0000 0.0000 0.5000
Cl2 0.1150 0.6150 0.2330
Cl3 0.1150 0.6150 0.7670
Cl4 0.1648 0.3352 0.0000
Cl5 0.3352 0.8352 0.0000
Cl6 0.3850 0.1150 0.2330
Cl7 0.3850 0.1150 0.7670
Cl8 0.5000 0.5000 0.5000
Cl9 0.6150 0.8850 0.2330
Cl10 0.6150 0.8850 0.7670
Cl11 0.6648 0.1648 0.0000
Cl12 0.8352 0.6648 0.0000
Cl13 0.8850 0.3850 0.2330
Cl14 0.8850 0.3850 0.7670
# Size of the total moment, μB per cell: 4.00
# Crystal system: tetragonal
# Density of states at the Fermi level, states/eV/f.u.: 10.29
# Final energy, eV per cell: -89.648

Record 2
# Tl2POF5 PBE optimized geometry
data_Tl2POF5
_cell_length_a 6.2738
_cell_length_b 6.2738
_cell_length_c 6.2738
_cell_angle_alpha 124.85
_cell_angle_beta 124.85
_cell_angle_gamma 81.79
_space_group_name_H-M_alt 'P 1'
_space_group_IT_number 1
loop_
_space_group_symop_operation_xyz
'x,y,z'
loop_
_atom_site_label
_atom_site_fract_x
_atom_site_fract_y
_atom_site_fract_z
Tl1 0.0000 0.5000 0.5000
Tl2 0.5000 0.0000 0.5000
P1 0.2334 0.2334 0.0000
O1 0.0698 0.0698 0.0000
F1 0.0491 0.0491 0.5906
F2 0.0491 0.4586 0.0000
F3 0.4198 0.4198 0.0000
F4 0.4586 0.0491 0.0000
F5 0.4586 0.4586 0.4094
# Size of the total moment, μB per cell: 0.00
# Crystal system: tetragonal
# Density of states at the Fermi level, states/eV/f.u.: 0.00
# Final energy, eV per cell: -43.726

Record 3
# AcPm6Ho PBE optimized geometry
data_AcPm6Ho
_cell_length_a 6.8263
_cell_length_b 6.8643
_cell_length_c 6.9681
_cell_angle_alpha 119.51
_cell_angle_beta 92.19
_cell_angle_gamma 94.48
_space_group_name_H-M_alt 'P 1'
_space_group_IT_number 1
loop_
_space_group_symop_operation_xyz
'x,y,z'
loop_
_atom_site_label
_atom_site_fract_x
_atom_site_fract_y
_atom_site_fract_z
Ac1 0.0000 0.0000 0.0000
Pm1 0.2548 0.5711 0.5120
Pm2 0.2568 0.5531 0.0290
Pm3 0.2757 0.0939 0.5375
Pm4 0.7243 0.9061 0.4625
Pm5 0.7432 0.4469 0.9710
Pm6 0.7452 0.4289 0.4880
Ho1 0.5000 0.0000 0.0000
# Size of the total moment, μB per cell: 0.00
# Crystal system: triclinic
# Density of states at the Fermi level, states/eV/f.u.: 12.38
# Final energy, eV per cell: -35.737
# Energy above the lowest structure with this stoichiometry, eV/atom: 0.152